# 1
# YMn2Cu2

YMn2Cu2 after structural relaxation (PBE, Alexandria).

Calculated values
D(E_F) ... 4.7 states/eV/cell
Energy relative to the lowest polymorph listed for this composition ... 0.36 eV/f.u.

Cell: 6.5891 6.5891 6.5891 Å, 149.13 149.13 44.22°
Atoms (fractional coordinates):
Y: 0.0000 0.0000 0.0000
Mn: 0.2500 0.7500 0.5000
Mn: 0.7500 0.2500 0.5000
Cu: 0.3954 0.3954 0.0000
Cu: 0.6046 0.6046 0.0000

# 2
# Li2CdAu6

Li2CdAu6 after structural relaxation (PBE, Alexandria).

Calculated values
D(E_F) ... 6.5 states/eV/cell
Energy relative to the lowest polymorph listed for this composition ... 0.00 eV/f.u.

Cell: 8.7603 8.7603 4.0897 Å, 90.00 90.00 90.00°
Atoms (fractional coordinates):
Li: 0.1795 0.1795 0.0000
Li: 0.3205 0.6795 0.5000
Li: 0.6795 0.3205 0.5000
Li: 0.8205 0.8205 0.0000
Cd: 0.0000 0.0000 0.5000
Cd: 0.5000 0.5000 0.0000
Au: 0.0021 0.3294 0.5000
Au: 0.1642 0.8358 0.0000
Au: 0.1706 0.5021 0.0000
Au: 0.3294 0.0021 0.5000
Au: 0.3358 0.3358 0.5000
Au: 0.4979 0.8294 0.0000
Au: 0.5021 0.1706 0.0000
Au: 0.6642 0.6642 0.5000
Au: 0.6706 0.9979 0.5000
Au: 0.8294 0.4979 0.0000
Au: 0.8358 0.1642 0.0000
Au: 0.9979 0.6706 0.5000